Record 1
VASP calculation (PBE) on GdTlPtRh after structural relaxation.

Lattice parameters (Å, degrees): 4.826 4.826 4.826 60.00 60.00 60.00
Fractional positions:
Gd 0.000 0.000 0.000
Tl 0.500 0.500 0.500
Pt 0.750 0.750 0.750
Rh 0.250 0.250 0.250

Output
N(E_F), states/eV/atom: 0.838
Formation energy, meV per atom: -558

***

Record 2
VASP calculation (PBE) on GdTmPtRh after structural relaxation.

Lattice parameters (Å, degrees): 4.885 4.885 4.885 60.00 60.00 60.00
Fractional positions:
Gd 0.000 0.000 0.000
Tm 0.500 0.500 0.500
Pt 0.750 0.750 0.750
Rh 0.250 0.250 0.250

Output
N(E_F), states/eV/atom: 0.385
Formation energy, meV per atom: -1041

***

Record 3
VASP calculation (PBE) on GdZrPtRh after structural relaxation.

Lattice parameters (Å, degrees): 4.824 4.824 4.824 60.00 60.00 60.00
Fractional positions:
Gd 0.000 0.000 0.000
Zr 0.500 0.500 0.500
Pt 0.750 0.750 0.750
Rh 0.250 0.250 0.250

Output
N(E_F), states/eV/atom: 1.256
Formation energy, meV per atom: -832